--- 1 ---
## TbErZnSi (PBE)

Data for TbErZnSi after structural relaxation.

```
TbErZnSi
1.0
4.962 0.000 0.000
2.481 4.297 0.000
2.481 1.432 4.051
Zn Si Er Tb
1 1 1 1
direct
0.250 0.250 0.250 Zn
0.750 0.750 0.750 Si
0.000 0.000 0.000 Er
0.500 0.500 0.500 Tb
```

Computed properties:
**Crystal system**: cubic
**Calculated volume**: 21.59 A^3/atom
**Theoretical density**: 8.07 g/cm³
**Symmetry**: F-43m

--- 2 ---
## TbErZnSi (PBE)

Data for TbErZnSi after structural relaxation.

```
TbErZnSi
1.0
4.164 0.000 0.000
0.000 4.050 0.000
-2.082 0.000 5.398
Er Tb Si Zn
1 1 1 1
direct
0.860 0.500 0.720 Er
0.144 0.000 0.287 Tb
0.426 0.000 0.852 Si
0.570 0.500 0.141 Zn
```

Computed properties:
**Crystal system**: orthorhombic
**Calculated volume**: 22.76 A^3/atom
**Theoretical density**: 7.66 g/cm³
**Symmetry**: Amm2

Stability check: which of them is most stable? 2.

--- 1 ---
## ErSi2Tc (PBE)

Data for ErSi2Tc after structural relaxation.

```
ErSi2Tc
1.0
3.123 0.000 0.000
0.000 3.123 0.000
0.000 0.000 6.763
Tc Si Er
1 2 1
direct
0.500 0.500 0.000 Tc
0.000 0.000 0.195 Si
0.000 0.000 0.805 Si
0.500 0.500 0.500 Er
```

Computed properties:
**Crystal system**: tetragonal
**Calculated volume**: 16.49 A^3/atom
**Theoretical density**: 8.09 g/cm³
**Symmetry**: P4/mmm

--- 2 ---
## ErSi2Tc (PBE)

Data for ErSi2Tc after structural relaxation.

```
ErSi2Tc
1.0
4.117 0.000 0.000
2.058 3.565 0.000
2.058 1.188 4.800
Si Tc Er
2 1 1
direct
0.713 0.713 0.860 Si
0.287 0.287 0.140 Si
0.000 0.000 0.000 Tc
0.500 0.500 0.500 Er
```

Computed properties:
**Crystal system**: trigonal
**Calculated volume**: 17.61 A^3/atom
**Theoretical density**: 7.58 g/cm³
**Symmetry**: R-3m

Stability check: which of them is most stable? 2.

--- 1 ---
## ErSi2Tc (PBE)

Data for ErSi2Tc after structural relaxation.

```
ErSi2Tc
1.0
-2.643 -2.801 0.619
2.667 -3.733 -5.499
6.340 -4.612 6.206
Er Tc Si
4 4 8
direct
0.750 0.646 0.372 Er
0.750 0.146 0.128 Er
0.250 0.354 0.628 Er
0.250 0.854 0.872 Er
0.750 0.485 0.893 Tc
0.250 0.015 0.393 Tc
0.250 0.515 0.107 Tc
0.750 0.985 0.607 Tc
0.750 0.152 0.814 Si
0.250 0.348 0.314 Si
0.750 0.214 0.430 Si
0.250 0.286 0.930 Si
0.250 0.786 0.570 Si
0.750 0.714 0.070 Si
0.250 0.848 0.186 Si
0.750 0.652 0.686 Si
```

Computed properties:
**Crystal system**: orthorhombic
**Calculated volume**: 17.46 A^3/atom
**Theoretical density**: 7.64 g/cm³
**Symmetry**: Pnma

--- 2 ---
## ErSi2Tc (PBE)

Data for ErSi2Tc after structural relaxation.

```
ErSi2Tc
1.0
6.717 0.000 0.000
0.000 6.230 0.000
0.000 0.000 6.547
Er Si Tc
4 8 4
direct
0.331 0.250 0.013 Er
0.831 0.750 0.487 Er
0.669 0.750 0.987 Er
0.169 0.250 0.513 Er
0.452 0.563 0.327 Si
0.952 0.063 0.173 Si
0.548 0.437 0.673 Si
0.452 0.937 0.327 Si
0.048 0.937 0.827 Si
0.952 0.437 0.173 Si
0.048 0.563 0.827 Si
0.548 0.063 0.673 Si
0.332 0.750 0.652 Tc
0.168 0.750 0.152 Tc
0.668 0.250 0.348 Tc
0.832 0.250 0.848 Tc
```

Computed properties:
**Crystal system**: orthorhombic
**Calculated volume**: 17.13 A^3/atom
**Theoretical density**: 7.79 g/cm³
**Symmetry**: Pnma

Stability check: which of them is most stable? 1.

--- 1 ---
## ErSi2Tc2 (PBE)

Data for ErSi2Tc2 after structural relaxation.

```
ErSi2Tc2
1.0
5.639 -0.659 -0.006
-2.533 5.081 -0.006
-1.543 -2.197 6.719
Er Tc Si
2 4 4
direct
0.125 0.375 0.250 Er
0.875 0.625 0.750 Er
0.263 0.013 0.525 Tc
0.513 0.763 0.025 Tc
0.487 0.237 0.975 Tc
0.737 0.987 0.475 Tc
0.183 0.317 0.750 Si
0.817 0.683 0.250 Si
0.433 0.067 0.250 Si
0.567 0.933 0.750 Si
```

Computed properties:
**Crystal system**: orthorhombic
**Calculated volume**: 18.11 A^3/atom
**Theoretical density**: 7.69 g/cm³
**Symmetry**: Fddd

--- 2 ---
## ErSi2Tc2 (PBE)

Data for ErSi2Tc2 after structural relaxation.

```
ErSi2Tc2
1.0
3.924 -0.262 1.242
-0.135 3.931 1.242
0.365 0.353 5.785
Tc Er Si
2 1 2
direct
0.251 0.749 0.500 Tc
0.749 0.251 0.500 Tc
0.000 0.000 0.000 Er
0.377 0.377 0.245 Si
0.623 0.623 0.755 Si
```

Computed properties:
**Crystal system**: orthorhombic
**Calculated volume**: 17.07 A^3/atom
**Theoretical density**: 8.16 g/cm³
**Symmetry**: Fmmm

Stability check: which of them is most stable? 2.

--- 1 ---
## Er2SiTe (PBE)

Data for Er2SiTe after structural relaxation.

```
Er2SiTe
1.0
4.175 0.000 0.000
2.088 3.616 0.000
2.088 1.205 7.155
Si Er Te
1 2 1
direct
0.668 0.668 0.996 Si
0.071 0.071 0.788 Er
0.262 0.262 0.213 Er
0.499 0.499 0.504 Te
```

Computed properties:
**Crystal system**: trigonal
**Calculated volume**: 27.01 A^3/atom
**Theoretical density**: 7.54 g/cm³
**Symmetry**: R3m

--- 2 ---
## Er2SiTe (PBE)

Data for Er2SiTe after structural relaxation.

```
Er2SiTe
1.0
-0.953 -0.575 4.037
0.618 -3.305 -2.497
7.270 1.539 -0.236
Si Te Er
1 1 2
direct
0.000 0.000 0.000 Si
0.000 0.500 0.500 Te
0.522 0.261 0.783 Er
0.478 0.739 0.217 Er
```

Computed properties:
**Crystal system**: trigonal
**Calculated volume**: 26.70 A^3/atom
**Theoretical density**: 7.62 g/cm³
**Symmetry**: R-3m

Stability check: which of them is most stable? 2.

--- 1 ---
## ErTmSi2 (PBE)

Data for ErTmSi2 after structural relaxation.

```
ErTmSi2
1.0
4.528 0.000 0.000
2.264 3.921 0.000
2.264 1.307 5.005
Er Si Tm
1 2 1
direct
0.500 0.500 0.500 Er
0.251 0.251 0.247 Si
0.749 0.749 0.753 Si
0.000 0.000 0.000 Tm
```

Computed properties:
**Crystal system**: trigonal
**Calculated volume**: 22.22 A^3/atom
**Theoretical density**: 7.33 g/cm³
**Symmetry**: R-3m

--- 2 ---
## ErTmSi2 (PBE)

Data for ErTmSi2 after structural relaxation.

```
ErTmSi2
1.0
4.221 0.000 -0.028
0.000 3.799 0.000
-2.075 0.000 5.218
Tm Si Er
1 2 1
direct
0.723 0.000 0.985 Tm
0.160 0.500 0.860 Si
0.005 0.000 0.550 Si
0.442 0.500 0.424 Er
```

Computed properties:
**Crystal system**: orthorhombic
**Calculated volume**: 20.86 A^3/atom
**Theoretical density**: 7.81 g/cm³
**Symmetry**: Amm2

Stability check: which of them is most stable? 2.

--- 1 ---
## ErZnSi2 (PBE)

Data for ErZnSi2 after structural relaxation.

```
ErZnSi2
1.0
-4.010 0.195 0.054
-0.093 -2.776 3.137
0.190 3.131 2.777
Si Zn Er
2 1 1
direct
0.000 0.500 0.000 Si
0.000 0.000 0.500 Si
0.500 0.000 0.000 Zn
0.500 0.500 0.500 Er
```

Computed properties:
**Crystal system**: tetragonal
**Calculated volume**: 17.62 A^3/atom
**Theoretical density**: 6.80 g/cm³
**Symmetry**: P4/mmm

--- 2 ---
## ErZnSi2 (PBE)

Data for ErZnSi2 after structural relaxation.

```
ErZnSi2
1.0
-3.634 1.937 0.543
-3.561 -8.154 5.255
4.633 5.443 11.584
Zn Er Si
8 8 16
direct
0.750 0.961 0.445 Zn
0.750 0.132 0.738 Zn
0.250 0.868 0.262 Zn
0.250 0.039 0.555 Zn
0.250 0.461 0.055 Zn
0.250 0.632 0.762 Zn
0.750 0.539 0.945 Zn
0.750 0.368 0.238 Zn
0.750 0.238 0.946 Er
0.250 0.762 0.054 Er
0.250 0.738 0.554 Er
0.750 0.262 0.446 Er
0.750 0.057 0.184 Er
0.250 0.557 0.316 Er
0.750 0.443 0.684 Er
0.250 0.943 0.816 Er
0.250 0.262 0.609 Si
0.750 0.763 0.214 Si
0.750 0.737 0.714 Si
0.250 0.440 0.866 Si
0.250 0.238 0.109 Si
0.750 0.546 0.478 Si
0.250 0.454 0.522 Si
0.750 0.560 0.134 Si
0.250 0.046 0.022 Si
0.750 0.954 0.978 Si
0.750 0.738 0.391 Si
0.250 0.237 0.786 Si
0.250 0.263 0.286 Si
0.750 0.762 0.891 Si
0.750 0.940 0.634 Si
0.250 0.060 0.366 Si
```

Computed properties:
**Crystal system**: orthorhombic
**Calculated volume**: 18.26 A^3/atom
**Theoretical density**: 6.57 g/cm³
**Symmetry**: Pnma

--- 3 ---
## ErZnSi2 (PBE)

Data for ErZnSi2 after structural relaxation.

```
ErZnSi2
1.0
3.021 0.000 0.000
0.000 5.149 -0.372
0.000 -2.045 4.740
Zn Si Er
1 2 1
direct
0.500 0.554 0.446 Zn
0.500 0.054 0.447 Si
0.500 0.553 0.946 Si
0.000 0.054 0.946 Er
```

Computed properties:
**Crystal system**: orthorhombic
**Calculated volume**: 17.85 A^3/atom
**Theoretical density**: 6.72 g/cm³
**Symmetry**: Cmmm

Stability check: which of them is most stable? 2.

--- 1 ---
## SmEr3 (PBE)

Data for SmEr3 after structural relaxation.

```
SmEr3
1.0
-1.134 -3.221 -1.190
5.895 -2.045 -0.082
-2.922 0.860 5.948
Er Sm
3 1
direct
0.751 0.085 0.503 Er
0.500 0.501 0.000 Er
0.249 0.582 0.497 Er
0.000 0.998 0.000 Sm
```

Computed properties:
**Crystal system**: orthorhombic
**Calculated volume**: 31.74 A^3/atom
**Theoretical density**: 8.53 g/cm³
**Symmetry**: Imm2

--- 2 ---
## SmEr3 (PBE)

Data for SmEr3 after structural relaxation.

```
SmEr3
1.0
6.122 0.009 0.000
2.029 5.776 0.000
-4.075 -2.892 3.536
Er Sm
3 1
direct
0.750 0.250 0.500 Er
0.250 0.750 0.500 Er
0.500 0.500 0.000 Er
0.000 0.000 0.000 Sm
```

Computed properties:
**Crystal system**: tetragonal
**Calculated volume**: 31.24 A^3/atom
**Theoretical density**: 8.67 g/cm³
**Symmetry**: I4/mmm

Stability check: which of them is most stable? 1.

--- 1 ---
## SmEr3 (PBE)

Data for SmEr3 after structural relaxation.

```
SmEr3
1.0
-1.427 -3.276 -0.538
4.642 -2.366 2.092
-2.506 0.150 5.730
Er Sm
3 1
direct
0.500 0.500 0.833 Er
0.000 0.000 0.999 Er
0.500 0.000 0.501 Er
0.000 0.500 0.335 Sm
```

Computed properties:
**Crystal system**: orthorhombic
**Calculated volume**: 31.73 A^3/atom
**Theoretical density**: 8.53 g/cm³
**Symmetry**: Pmm2

--- 2 ---
## SmEr3 (PBE)

Data for SmEr3 after structural relaxation.

```
SmEr3
1.0
5.641 0.000 0.000
2.820 4.885 0.000
2.820 1.628 4.606
Sm Er
1 3
direct
0.500 0.500 0.500 Sm
0.250 0.250 0.250 Er
0.750 0.750 0.750 Er
0.000 0.000 0.000 Er
```

Computed properties:
**Crystal system**: cubic
**Calculated volume**: 31.73 A^3/atom
**Theoretical density**: 8.53 g/cm³
**Symmetry**: Fm-3m

--- 3 ---
## SmEr3 (PBE)

Data for SmEr3 after structural relaxation.

```
SmEr3
1.0
-4.609 0.313 1.912
1.540 -2.401 4.106
1.175 4.374 2.117
Er Sm
3 1
direct
0.000 0.500 0.500 Er
0.500 0.500 0.000 Er
0.500 0.000 0.500 Er
0.000 0.000 0.000 Sm
```

Computed properties:
**Crystal system**: cubic
**Calculated volume**: 31.23 A^3/atom
**Theoretical density**: 8.67 g/cm³
**Symmetry**: Pm-3m

Stability check: which of them is most stable? 1.

--- 1 ---
## Sm5Er6 (PBE)

Data for Sm5Er6 after structural relaxation.

```
Sm5Er6
1.0
8.998 0.000 -0.679
4.499 6.533 -0.339
2.361 0.000 5.926
Er Sm
6 5
direct
0.838 0.000 0.692 Er
0.305 0.742 0.826 Er
0.162 0.000 0.308 Er
0.695 0.258 0.174 Er
0.047 0.258 0.826 Er
0.953 0.742 0.174 Er
0.500 0.000 0.500 Sm
0.761 0.479 0.500 Sm
0.370 0.261 0.000 Sm
0.630 0.739 0.000 Sm
0.239 0.521 0.500 Sm
```

Computed properties:
**Crystal system**: monoclinic
**Calculated volume**: 32.62 A^3/atom
**Theoretical density**: 8.12 g/cm³
**Symmetry**: C2/m

--- 2 ---
## Sm5Er6 (PBE)

Data for Sm5Er6 after structural relaxation.

```
Sm5Er6
1.0
-1.843 -4.779 2.131
5.656 -6.560 4.618
-4.267 6.938 4.651
Er Sm
6 5
direct
0.794 0.343 0.274 Er
0.206 0.657 0.726 Er
0.294 0.206 0.000 Er
0.794 0.069 0.726 Er
0.706 0.794 0.000 Er
0.206 0.931 0.274 Er
0.500 0.199 0.398 Sm
0.500 0.500 0.000 Sm
0.000 0.662 0.325 Sm
0.000 0.338 0.675 Sm
0.500 0.801 0.602 Sm
```

Computed properties:
**Crystal system**: orthorhombic
**Calculated volume**: 32.65 A^3/atom
**Theoretical density**: 8.12 g/cm³
**Symmetry**: Immm

Stability check: which of them is most stable? 2.

--- 1 ---
## Sm2Er (PBE)

Data for Sm2Er after structural relaxation.

```
Sm2Er
1.0
-0.345 2.973 5.093
-4.410 -1.718 4.130
-0.579 -5.591 6.650
Er Sm
2 4
direct
0.590 0.546 0.274 Er
0.410 0.454 0.726 Er
0.257 0.271 0.215 Sm
0.078 0.108 0.737 Sm
0.743 0.729 0.785 Sm
0.922 0.892 0.263 Sm
```

Computed properties:
**Crystal system**: monoclinic
**Calculated volume**: 32.76 A^3/atom
**Theoretical density**: 7.91 g/cm³
**Symmetry**: C2/m

--- 2 ---
## Sm2Er (PBE)

Data for Sm2Er after structural relaxation.

```
Sm2Er
1.0
-4.571 -3.638 -0.998
-0.504 -2.560 -5.955
4.384 -11.143 2.945
Er Sm
4 8
direct
0.633 0.000 0.734 Er
0.383 0.500 0.234 Er
0.117 0.500 0.766 Er
0.367 0.000 0.266 Er
0.069 0.000 0.862 Sm
0.395 0.209 0.500 Sm
0.105 0.791 0.500 Sm
0.931 0.000 0.138 Sm
0.355 0.291 0.000 Sm
0.681 0.500 0.638 Sm
0.645 0.709 0.000 Sm
0.819 0.500 0.362 Sm
```

Computed properties:
**Crystal system**: orthorhombic
**Calculated volume**: 34.21 A^3/atom
**Theoretical density**: 7.57 g/cm³
**Symmetry**: Fddd

--- 3 ---
## Sm2Er (PBE)

Data for Sm2Er after structural relaxation.

```
Sm2Er
1.0
3.588 0.000 0.000
0.000 3.588 0.000
-1.794 -1.794 7.611
Sm Er
2 1
direct
0.335 0.335 0.670 Sm
0.665 0.665 0.330 Sm
0.000 0.000 0.000 Er
```

Computed properties:
**Crystal system**: tetragonal
**Calculated volume**: 32.66 A^3/atom
**Theoretical density**: 7.93 g/cm³
**Symmetry**: I4/mmm

Stability check: which of them is most stable? 3.